(1)
A relaxed structure of K2BeAu. Source: Alexandria via LeMat-Bulk, functional PBE.

Output
formation enthalpy at 0 K	0.55	eV per atom

Lattice parameters (Å, degrees): 4.726 4.726 9.005 99.02 99.02 48.15
Positions (direct):
K 0.244 0.244 0.236
K 0.756 0.756 0.764
Be 0.000 0.000 0.500
Au 0.500 0.500 0.000



(2)
A relaxed structure of KBe2Au2. Source: Alexandria via LeMat-Bulk, functional PBE.

Output
formation enthalpy at 0 K	-0.01	eV per atom

Lattice parameters (Å, degrees): 7.118 7.118 7.118 147.41 147.41 46.76
Positions (direct):
K 0.000 0.000 0.000
Be 0.250 0.750 0.500
Be 0.750 0.250 0.500
Au 0.343 0.343 0.000
Au 0.657 0.657 0.000



(3)
A relaxed structure of KBe2Au. Source: Alexandria via LeMat-Bulk, functional PBE.

Output
formation enthalpy at 0 K	0.28	eV per atom

Lattice parameters (Å, degrees): 8.355 8.355 8.355 145.65 145.65 49.37
Positions (direct):
K 0.375 0.625 0.750
K 0.625 0.375 0.250
Be 0.000 0.000 0.000
Be 0.000 0.000 0.500
Be 0.000 0.500 0.000
Be 0.500 0.000 0.500
Au 0.125 0.875 0.250
Au 0.875 0.125 0.750



(4)
A relaxed structure of K2BeAu. Source: Alexandria via LeMat-Bulk, functional PBE.

Output
formation enthalpy at 0 K	0.13	eV per atom

Lattice parameters (Å, degrees): 9.047 9.047 9.047 93.52 93.52 151.31
Positions (direct):
K 0.375 0.188 0.313
K 0.812 0.125 0.187
K 0.875 0.062 0.687
K 0.938 0.625 0.813
Be 0.250 0.750 0.500
Be 0.500 0.500 0.000
Au 0.000 0.000 0.000
Au 0.750 0.250 0.500



(5)
A relaxed structure of KBeAu4. Source: Alexandria via LeMat-Bulk, functional PBE.

Output
formation enthalpy at 0 K	-0.22	eV per atom

Lattice parameters (Å, degrees): 6.517 6.517 7.137 90.02 90.02 121.01
Positions (direct):
K 0.080 0.920 0.750
K 0.920 0.080 0.250
Be 0.455 0.545 0.750
Be 0.545 0.455 0.250
Au 0.033 0.404 0.750
Au 0.375 0.625 0.052
Au 0.375 0.625 0.448
Au 0.404 0.033 0.250
Au 0.596 0.967 0.750
Au 0.625 0.375 0.552
Au 0.625 0.375 0.948
Au 0.967 0.596 0.250



(6)
A relaxed structure of KBe2Au. Source: Alexandria via LeMat-Bulk, functional PBE.

Output
formation enthalpy at 0 K	-0.05	eV per atom

Lattice parameters (Å, degrees): 4.078 4.078 6.239 101.72 101.72 59.96
Positions (direct):
K 0.000 0.000 0.000
Be 0.103 0.103 0.501
Be 0.432 0.432 0.486
Au 0.764 0.764 0.479



(7)
A relaxed structure of KBe2Au. Source: Alexandria via LeMat-Bulk, functional PBE.

Output
formation enthalpy at 0 K	0.92	eV per atom

Lattice parameters (Å, degrees): 6.043 6.043 2.671 102.45 102.45 120.04
Positions (direct):
K 0.000 0.000 0.000
Be 0.000 0.500 0.500
Be 0.500 0.000 0.500
Au 0.500 0.500 0.000



(8)
A relaxed structure of KBe2Au. Source: Alexandria via LeMat-Bulk, functional PBE.

Output
formation enthalpy at 0 K	-0.06	eV per atom

Lattice parameters (Å, degrees): 4.072 4.072 6.408 108.63 108.63 59.99
Positions (direct):
K 0.000 0.000 0.000
Be 0.172 0.172 0.517
Be 0.828 0.828 0.483
Au 0.500 0.500 0.500



(9)
A relaxed structure of K2BeAu. Source: Alexandria via LeMat-Bulk, functional PBE.

Output
formation enthalpy at 0 K	0.47	eV per atom

Lattice parameters (Å, degrees): 5.376 5.376 5.376 120.92 120.92 88.41
Positions (direct):
K 0.000 0.000 0.000
K 0.750 0.250 0.500
Be 0.500 0.500 0.000
Au 0.250 0.750 0.500



(10)
A relaxed structure of KBe2Au. Source: Alexandria via LeMat-Bulk, functional PBE.

Output
formation enthalpy at 0 K	0.79	eV per atom

Lattice parameters (Å, degrees): 4.613 4.613 4.613 60.00 60.00 60.00
Positions (direct):
K 0.000 0.000 0.000
Be 0.250 0.250 0.250
Be 0.750 0.750 0.750
Au 0.500 0.500 0.500



(11)
A relaxed structure of KBe2Au2. Source: Alexandria via LeMat-Bulk, functional PBE.

Output
formation enthalpy at 0 K	-0.05	eV per atom

Lattice parameters (Å, degrees): 6.538 6.538 5.962 100.84 100.84 122.32
Positions (direct):
K 0.108 0.892 0.750
K 0.892 0.108 0.250
Be 0.251 0.749 0.250
Be 0.485 0.515 0.250
Be 0.515 0.485 0.750
Be 0.749 0.251 0.750
Au 0.203 0.474 0.900
Au 0.474 0.203 0.400
Au 0.526 0.797 0.600
Au 0.797 0.526 0.100



(12)
A relaxed structure of K2BeAu. Source: Alexandria via LeMat-Bulk, functional PBE.

Output
formation enthalpy at 0 K	0.03	eV per atom

Lattice parameters (Å, degrees): 4.099 4.099 9.825 103.27 103.27 59.37
Positions (direct):
K 0.000 0.000 0.000
K 0.193 0.193 0.536
Be 0.762 0.762 0.268
Au 0.431 0.431 0.268



Number 1: magnetization 0.0 μB/f.u.. Number 2: magnetization 0.0 μB/f.u.. Number 3: magnetization 0.0 μB/f.u.. Number 4: magnetization 0.0 μB/f.u.. Number 5: magnetization 0.0 μB/f.u.. Number 6: magnetization 0.0 μB/f.u.. Number 7: magnetization 0.0 μB/f.u.. Number 8: magnetization 0.0 μB/f.u.. Number 9: magnetization 0.0 μB/f.u.. Number 10: magnetization 0.0 μB/f.u.. Number 11: magnetization 0.0 μB/f.u.. Number 12: magnetization 0.0 μB/f.u..